Record 1
# Na2NdF5 PBE relaxed
# * uncorrected energy: -5.474 eV per atom
# * DOS at the Fermi energy: 0.000 states/eV/atom
data_Na2NdF5
_chemical_formula_sum 'Na8 Nd4 F20'
_symmetry_space_group_name_H-M 'P n m a'
_symmetry_Int_Tables_number 62
_cell_length_a 9.873
_cell_length_b 7.256
_cell_length_c 6.554
_cell_angle_alpha 90.00
_cell_angle_beta 90.00
_cell_angle_gamma 90.00
loop_
_symmetry_equiv_pos_as_xyz
'x,y,z'
'-x,-y,-z'
'-x+1/2,-y,z+1/2'
'x+1/2,y,-z+1/2'
'x+1/2,-y+1/2,-z+1/2'
'-x+1/2,y+1/2,z+1/2'
'-x,y+1/2,-z'
'x,-y+1/2,z'
loop_
_atom_site_label
_atom_site_type_symbol
_atom_site_fract_x
_atom_site_fract_y
_atom_site_fract_z
Na1 Na 0.176 0.012 0.016
Nd1 Nd 0.007 0.750 0.415
F1 F 0.003 0.750 0.061
F2 F 0.098 0.041 0.356
F3 F 0.183 0.750 0.637
F4 F 0.223 0.250 0.697

---

Record 2
# NaNd2F6 PBE relaxed
# * uncorrected energy: -5.982 eV per atom
# * DOS at the Fermi energy: 0.203 states/eV/atom
data_NaNd2F6
_chemical_formula_sum 'Na2 Nd4 F12'
_symmetry_space_group_name_H-M 'I 4/m m m'
_symmetry_Int_Tables_number 139
_symmetry_space_group_name_Hall '-I 4 2'
_cell_length_a 3.958
_cell_length_b 3.958
_cell_length_c 17.550
_cell_angle_alpha 90.00
_cell_angle_beta 90.00
_cell_angle_gamma 90.00
loop_
_atom_site_label
_atom_site_type_symbol
_atom_site_fract_x
_atom_site_fract_y
_atom_site_fract_z
Na1 Na 0.000 0.000 0.000
Nd1 Nd 0.000 0.000 0.341
F1 F 0.000 0.500 0.084
F2 F 0.000 0.500 0.250

---

Record 3
# Na3NdF6 PBE relaxed
# * uncorrected energy: -5.222 eV per atom
# * DOS at the Fermi energy: 0.000 states/eV/atom
data_Na3NdF6
_chemical_formula_sum 'Na6 Nd2 F12'
_symmetry_space_group_name_H-M 'P n n m'
_symmetry_Int_Tables_number 58
_cell_length_a 6.174
_cell_length_b 11.920
_cell_length_c 4.056
_cell_angle_alpha 90.00
_cell_angle_beta 90.00
_cell_angle_gamma 90.00
loop_
_symmetry_equiv_pos_as_xyz
'x,y,z'
'-x,-y,-z'
'-x,-y,z'
'x,y,-z'
'x+1/2,-y+1/2,-z+1/2'
'-x+1/2,y+1/2,z+1/2'
'-x+1/2,y+1/2,-z+1/2'
'x+1/2,-y+1/2,z+1/2'
loop_
_atom_site_label
_atom_site_type_symbol
_atom_site_fract_x
_atom_site_fract_y
_atom_site_fract_z
Na1 Na 0.000 0.000 0.000
Na2 Na 0.064 0.239 0.500
Nd1 Nd 0.000 0.500 0.000
F1 F 0.059 0.701 0.000
F2 F 0.155 0.915 0.500
F3 F 0.170 0.563 0.500

---

| no. | total moment (μB per formula unit) | uncorrected formation energy (meV per atom) |
| --- | --- | --- |
| 1 | 0.047 | -3378 |
| 2 | 0.895 | -3528 |
| 3 | 0.152 | -3227 |